! SCAN LiAlVO4, PBEsol geometry; values from VASP
! E above lowest polymorph (meV/atom): 42.5
! ΔE_f (raw) (eV per atom): -2.79
! Calculated total energy (eV per atom): -10.293
! Size of the total moment (μB per atom): 0.14
&SYSTEM
  ibrav = 0, nat = 42, ntyp = 4
/
ATOMIC_SPECIES
Al 26.98 Al.upf
Li 6.94 Li.upf
O 16.00 O.upf
V 50.94 V.upf
ATOMIC_POSITIONS crystal
Al 0.9456 0.5391 0.7683
Li 0.2714 0.8733 0.1029
O 0.4240 0.7487 0.0831
O 0.3083 0.2847 0.6083
O 0.6620 0.7169 0.3763
Li 0.3937 0.7891 0.5625
O 0.9549 0.2939 0.0102
O 0.9935 0.0179 0.6913
O 0.6083 0.3083 0.2847
V 0.6107 0.2012 0.4342
O 0.6687 0.6438 0.9740
V 0.4342 0.6107 0.2012
Li 0.1029 0.2714 0.8733
Li 0.8733 0.1029 0.2714
O 0.0102 0.9549 0.2939
Al 0.7683 0.9456 0.5391
O 0.2496 0.9231 0.5885
O 0.9231 0.5885 0.2496
O 0.7169 0.3763 0.6620
Al 0.4657 0.2352 0.0552
Li 0.7891 0.5625 0.3937
O 0.2847 0.6083 0.3083
O 0.5885 0.2496 0.9231
O 0.0831 0.4240 0.7487
O 0.0179 0.6913 0.9935
V 0.1299 0.8975 0.7230
Li 0.5625 0.3937 0.7891
O 0.0467 0.3587 0.3817
Al 0.0552 0.4657 0.2352
V 0.8975 0.7230 0.1299
O 0.9740 0.6687 0.6438
O 0.3587 0.3817 0.0467
O 0.2939 0.0102 0.9549
Al 0.2352 0.0552 0.4657
O 0.3763 0.6620 0.7169
V 0.2012 0.4342 0.6107
O 0.6913 0.9935 0.0179
O 0.7487 0.0831 0.4240
O 0.3817 0.0467 0.3587
O 0.6438 0.9740 0.6687
V 0.7230 0.1299 0.8975
Al 0.5391 0.7683 0.9456
CELL_PARAMETERS angstrom
-7.2326 1.8396 4.2430
2.1221 -8.1003 1.8920
6.1832 5.0866 3.0971


! SCAN LiAlVO4, PBEsol geometry; values from VASP
! E above lowest polymorph (meV/atom): 64.7
! ΔE_f (raw) (eV per atom): -2.76
! Calculated total energy (eV per atom): -10.271
! Size of the total moment (μB per atom): 0.14
! N(E_F) (states/eV/f.u.): 0.82
&SYSTEM
  ibrav = 0, nat = 21, ntyp = 4
/
ATOMIC_SPECIES
Li 6.94 Li.upf
O 16.00 O.upf
Al 26.98 Al.upf
V 50.94 V.upf
ATOMIC_POSITIONS crystal
Li 0.0051 0.5153 0.9952
Li 0.9846 0.1558 0.6648
O 0.7033 0.0553 0.1551
Al 0.5292 0.5801 0.3426
Al 0.5069 0.4115 0.6672
O 0.7162 0.5416 0.1583
O 0.2938 0.2967 0.1814
V 0.4848 0.9029 0.6669
O 0.2901 0.9725 0.8460
O 0.7015 0.8861 0.4898
V 0.4652 0.0678 0.3185
Al 0.5052 0.2612 0.9993
O 0.3074 0.6151 0.5113
O 0.2786 0.1311 0.5110
O 0.7080 0.2124 0.8203
O 0.7157 0.7027 0.8242
Li 0.9978 0.3426 0.3398
O 0.7100 0.3627 0.4883
V 0.5093 0.7636 0.9989
O 0.2965 0.4581 0.8457
O 0.2939 0.7717 0.1804
CELL_PARAMETERS angstrom
-1.3483 -4.4053 -2.1865
2.7706 -2.7332 4.1366
-5.9061 2.5250 3.7364


! SCAN Li3Al2VO6, PBEsol geometry; values from VASP
! E above lowest polymorph (meV/atom): 50.8
! ΔE_f (raw) (eV per atom): -2.80
! Calculated total energy (eV per atom): -9.258
! Size of the total moment (μB per atom): 0.17
&SYSTEM
  ibrav = 0, nat = 24, ntyp = 4
/
ATOMIC_SPECIES
O 16.00 O.upf
Li 6.94 Li.upf
Al 26.98 Al.upf
V 50.94 V.upf
ATOMIC_POSITIONS crystal
O 0.6848 0.6792 0.5752
Li 0.6502 0.3403 0.5796
Al 0.1812 0.1665 0.5882
Li 0.1756 0.8429 0.0917
Al 0.6549 0.6724 0.0770
Al 0.3451 0.3276 0.9230
O 0.3427 0.6434 0.9242
V 0.0024 0.3322 0.2482
O 0.1689 0.1883 0.0761
Al 0.8188 0.8335 0.4118
Li 0.8244 0.1571 0.9083
Li 0.4953 0.1691 0.2526
O 0.9712 0.6618 0.2520
Li 0.5047 0.8309 0.7474
O 0.0288 0.3382 0.7480
O 0.4706 0.1670 0.7538
O 0.3152 0.3208 0.4248
V 0.9976 0.6678 0.7518
O 0.6573 0.3566 0.0758
O 0.1372 0.8495 0.5804
O 0.8628 0.1505 0.4196
Li 0.3498 0.6597 0.4204
O 0.8311 0.8117 0.9239
O 0.5294 0.8330 0.2462
CELL_PARAMETERS angstrom
5.2850 0.0066 0.0088
-0.0545 5.7652 -0.0028
-1.0532 -0.1475 7.6451


! SCAN LiAlVO4, PBEsol geometry; values from VASP
! E above lowest polymorph (meV/atom): 6.3
! ΔE_f (raw) (eV per atom): -2.82
! Calculated total energy (eV per atom): -10.329
! Size of the total moment (μB per atom): 0.14
! N(E_F) (states/eV/f.u.): 0.44
&SYSTEM
  ibrav = 0, nat = 28, ntyp = 4
/
ATOMIC_SPECIES
V 50.94 V.upf
O 16.00 O.upf
Li 6.94 Li.upf
Al 26.98 Al.upf
ATOMIC_POSITIONS crystal
V 0.7500 0.7176 0.1467
O 0.2500 0.6053 0.5338
O 0.7500 0.1676 0.7599
O 0.7500 0.5797 0.2819
O 0.7500 0.3612 0.9499
O 0.2500 0.1053 0.9662
O 0.7500 0.3947 0.4662
Li 0.2500 0.0961 0.6358
O 0.2500 0.3324 0.2599
O 0.7500 0.8947 0.0338
Al 0.7500 0.0037 0.8761
O 0.2500 0.1388 0.4499
Li 0.7500 0.4039 0.1358
O 0.2500 0.8324 0.2401
Al 0.2500 0.4963 0.3761
O 0.7500 0.8612 0.5501
Al 0.2500 0.9963 0.1239
V 0.2500 0.7824 0.6467
Li 0.2500 0.5961 0.8642
V 0.7500 0.2176 0.3533
O 0.2500 0.9203 0.7819
V 0.2500 0.2824 0.8533
O 0.7500 0.6676 0.7401
O 0.2500 0.4203 0.7181
O 0.7500 0.0797 0.2181
Li 0.7500 0.9039 0.3642
O 0.2500 0.6388 0.0501
Al 0.7500 0.5037 0.6239
CELL_PARAMETERS angstrom
2.8165 0.0000 0.0000
0.0000 9.3968 0.0000
0.0000 0.0000 9.9866


! SCAN LiAlVO4, PBEsol geometry; values from VASP
! E above lowest polymorph (meV/atom): 83.6
! ΔE_f (raw) (eV per atom): -2.74
! Calculated total energy (eV per atom): -10.252
! Size of the total moment (μB per atom): 0.14
&SYSTEM
  ibrav = 0, nat = 21, ntyp = 4
/
ATOMIC_SPECIES
Al 26.98 Al.upf
O 16.00 O.upf
Li 6.94 Li.upf
V 50.94 V.upf
ATOMIC_POSITIONS crystal
Al 0.0000 0.5000 0.8333
O 0.1834 0.7985 0.2428
O 0.2015 0.8166 0.7572
Li 0.0000 0.0000 0.8333
V 0.0000 0.5000 0.3333
Li 0.0000 0.0000 0.5000
V 0.5000 0.5000 0.0000
Al 0.5000 0.5000 0.5000
O 0.7985 0.1834 0.7572
O 0.8166 0.6151 0.4238
O 0.1834 0.3849 0.4238
Li 0.0000 0.0000 0.1667
O 0.2015 0.3849 0.9095
V 0.5000 0.0000 0.6667
O 0.3849 0.1834 0.5762
O 0.6151 0.7985 0.0905
O 0.3849 0.2015 0.0905
O 0.7985 0.6151 0.9095
O 0.8166 0.2015 0.2428
O 0.6151 0.8166 0.5762
Al 0.5000 0.0000 0.1667
CELL_PARAMETERS angstrom
-4.5303 2.7015 -1.1874
3.1151 -1.9330 -3.9738
-6.1682 -10.2726 0.1616


! SCAN LiAlVO4, PBEsol geometry; values from VASP
! E above lowest polymorph (meV/atom): 35.0
! ΔE_f (raw) (eV per atom): -2.79
! Calculated total energy (eV per atom): -10.300
! Size of the total moment (μB per atom): 0.14
&SYSTEM
  ibrav = 0, nat = 42, ntyp = 4
/
ATOMIC_SPECIES
O 16.00 O.upf
Li 6.94 Li.upf
Al 26.98 Al.upf
V 50.94 V.upf
ATOMIC_POSITIONS crystal
O 0.3837 0.3330 0.0474
O 0.7204 0.0439 0.0346
O 0.9654 0.2796 0.9561
Li 0.9264 0.7694 0.5325
Al 0.3830 0.5572 0.7903
O 0.3146 0.3306 0.6530
Al 0.7903 0.3830 0.5572
Li 0.7694 0.5325 0.9264
O 0.0439 0.0346 0.7204
O 0.2504 0.5829 0.9150
O 0.2796 0.9561 0.9654
O 0.9150 0.2504 0.5829
V 0.8859 0.1357 0.7207
O 0.9526 0.6163 0.6670
O 0.3306 0.6530 0.3146
Al 0.6170 0.4428 0.2097
O 0.3470 0.6854 0.6694
O 0.6694 0.3470 0.6854
V 0.8643 0.2793 0.1141
V 0.1357 0.7207 0.8859
O 0.3330 0.0474 0.3837
O 0.5829 0.9150 0.2504
O 0.6163 0.6670 0.9526
O 0.7496 0.4171 0.0850
Li 0.5325 0.9264 0.7694
O 0.0346 0.7204 0.0439
O 0.0474 0.3837 0.3330
Li 0.4675 0.0736 0.2306
Al 0.5572 0.7903 0.3830
O 0.9561 0.9654 0.2796
V 0.2793 0.1141 0.8643
O 0.6854 0.6694 0.3470
V 0.7207 0.8859 0.1357
Al 0.2097 0.6170 0.4428
O 0.4171 0.0850 0.7496
Li 0.0736 0.2306 0.4675
V 0.1141 0.8643 0.2793
Al 0.4428 0.2097 0.6170
Li 0.2306 0.4675 0.0736
O 0.6670 0.9526 0.6163
O 0.6530 0.3146 0.3306
O 0.0850 0.7496 0.4171
CELL_PARAMETERS angstrom
8.5423 0.0060 0.0095
-2.5681 8.1471 0.0095
-2.5681 -3.5047 7.3548


! SCAN LiAlVO4, PBEsol geometry; values from VASP
! E above lowest polymorph (meV/atom): 0.0
! ΔE_f (raw) (eV per atom): -2.83
! Calculated total energy (eV per atom): -10.335
! Size of the total moment (μB per atom): 0.14
&SYSTEM
  ibrav = 0, nat = 28, ntyp = 4
/
ATOMIC_SPECIES
O 16.00 O.upf
Al 26.98 Al.upf
Li 6.94 Li.upf
V 50.94 V.upf
ATOMIC_POSITIONS crystal
O 0.5046 0.7340 0.7390
O 0.2660 0.4954 0.0110
O 0.5046 0.2660 0.7610
O 0.4954 0.7340 0.2610
O 0.9901 0.2668 0.7398
Al 0.7454 0.2546 0.3750
Li 0.7678 0.0000 0.7500
O 0.7340 0.4954 0.9890
O 0.2660 0.5046 0.4890
O 0.7332 0.0099 0.0102
O 0.2668 0.9901 0.5102
Al 0.7454 0.7454 0.1250
V 0.5000 0.2294 0.0000
V 0.7706 0.5000 0.7500
V 0.2294 0.5000 0.2500
O 0.2668 0.0099 0.9898
O 0.9901 0.7332 0.7602
O 0.4954 0.2660 0.2390
Li 0.0000 0.2322 0.0000
Li 0.2322 0.0000 0.2500
Li 0.0000 0.7678 0.5000
Al 0.2546 0.7454 0.8750
O 0.7340 0.5046 0.5110
O 0.0099 0.7332 0.2398
V 0.5000 0.7706 0.5000
Al 0.2546 0.2546 0.6250
O 0.0099 0.2668 0.2602
O 0.7332 0.9901 0.4898
CELL_PARAMETERS angstrom
-3.6385 -4.2404 -1.2664
0.8867 -2.3048 5.1697
-6.0529 4.3099 2.9596


! SCAN LiAl2Os, PBEsol geometry; values from VASP
! E above lowest polymorph (meV/atom): 105.9
! Energy of formation from the pure elements (eV per atom): -0.43
! Calculated total energy (eV per atom): -22.875
! Size of the total moment (μB per atom): 0.00
! N(E_F) (states/eV/f.u.): 0.86
&SYSTEM
  ibrav = 0, nat = 4, ntyp = 3
/
ATOMIC_SPECIES
Al 26.98 Al.upf
Li 6.94 Li.upf
Os 190.23 Os.upf
ATOMIC_POSITIONS crystal
Al 0.7549 0.7549 0.5099
Li 0.5044 0.0044 0.0089
Al 0.9916 0.4916 0.9833
Os 0.2489 0.2489 0.4979
CELL_PARAMETERS angstrom
-1.3632 -0.4283 2.8021
-3.3304 -1.3275 -1.8234
3.8507 -3.0707 -0.3614


Copy entry 2 word for word.
! SCAN LiAlVO4, PBEsol geometry; values from VASP
! E above lowest polymorph (meV/atom): 64.7
! ΔE_f (raw) (eV per atom): -2.76
! Calculated total energy (eV per atom): -10.271
! Size of the total moment (μB per atom): 0.14
! N(E_F) (states/eV/f.u.): 0.82
&SYSTEM
  ibrav = 0, nat = 21, ntyp = 4
/
ATOMIC_SPECIES
Li 6.94 Li.upf
O 16.00 O.upf
Al 26.98 Al.upf
V 50.94 V.upf
ATOMIC_POSITIONS crystal
Li 0.0051 0.5153 0.9952
Li 0.9846 0.1558 0.6648
O 0.7033 0.0553 0.1551
Al 0.5292 0.5801 0.3426
Al 0.5069 0.4115 0.6672
O 0.7162 0.5416 0.1583
O 0.2938 0.2967 0.1814
V 0.4848 0.9029 0.6669
O 0.2901 0.9725 0.8460
O 0.7015 0.8861 0.4898
V 0.4652 0.0678 0.3185
Al 0.5052 0.2612 0.9993
O 0.3074 0.6151 0.5113
O 0.2786 0.1311 0.5110
O 0.7080 0.2124 0.8203
O 0.7157 0.7027 0.8242
Li 0.9978 0.3426 0.3398
O 0.7100 0.3627 0.4883
V 0.5093 0.7636 0.9989
O 0.2965 0.4581 0.8457
O 0.2939 0.7717 0.1804
CELL_PARAMETERS angstrom
-1.3483 -4.4053 -2.1865
2.7706 -2.7332 4.1366
-5.9061 2.5250 3.7364


Q: Among the records above, which one has the lowest E above lowest polymorph?
A: number 7